# Gd2CuGe2Au | OQMD via LeMat-Bulk | PBE | optimized geometry
data_Gd2CuGe2Au
_cell_length_a 4.3848
_cell_length_b 4.3848
_cell_length_c 7.3888
_cell_angle_alpha 90.00
_cell_angle_beta 90.00
_cell_angle_gamma 120.00
_symmetry_space_group_name_H-M 'P 3 m 1'
_symmetry_Int_Tables_number 156
loop_
_symmetry_equiv_pos_as_xyz
'x,y,z'
'-y,x-y,z'
'-x+y,-x,z'
'-y,-x,z'
'-x+y,y,z'
'x,x-y,z'
loop_
_atom_site_label
_atom_site_type_symbol
_atom_site_fract_x
_atom_site_fract_y
_atom_site_fract_z
Gd1 Gd 0.0000 0.0000 0.0000
Gd2 Gd 0.0000 0.0000 0.4916
Cu1 Cu 0.3333 0.6667 0.2197
Ge1 Ge 0.3333 0.6667 0.7892
Ge2 Ge 0.6667 0.3333 0.2703
Au1 Au 0.6667 0.3333 0.7118
# **E_tot**: -5.01 eV/atom
# **Crystal system**: trigonal
# **Total magnetization**: 0.000 μB/atom

# LuMgGaNi | OQMD via LeMat-Bulk | PBE | optimized geometry
data_LuMgGaNi
_cell_length_a 6.506
_cell_length_b 6.506
_cell_length_c 6.506
_cell_angle_alpha 90.00
_cell_angle_beta 90.00
_cell_angle_gamma 90.00
_symmetry_space_group_name_H-M 'F -4 3 m'
_symmetry_Int_Tables_number 216
_symmetry_space_group_name_Hall 'F -4 2 3'
loop_
_atom_site_label
_atom_site_type_symbol
_atom_site_fract_x
_atom_site_fract_y
_atom_site_fract_z
Lu1 Lu 0.000 0.000 0.000
Mg1 Mg 0.250 0.250 0.750
Ga1 Ga 0.250 0.250 0.250
Ni1 Ni 0.000 0.000 0.500
# **E_tot**: -3.89 eV/atom
# **Crystal system**: cubic
# **Energy above the most stable polymorph in this dataset**: 153 meV/atom
# **Total magnetization**: 0.000 μB/atom

# Al2AuI2 | OQMD via LeMat-Bulk | PBE | optimized geometry
data_Al2AuI2
_cell_length_a 5.118
_cell_length_b 5.118
_cell_length_c 5.632
_cell_angle_alpha 90.00
_cell_angle_beta 90.00
_cell_angle_gamma 90.00
_symmetry_space_group_name_H-M 'P 4/m m m'
_symmetry_Int_Tables_number 123
_symmetry_space_group_name_Hall '-P 4 2'
loop_
_atom_site_label
_atom_site_type_symbol
_atom_site_fract_x
_atom_site_fract_y
_atom_site_fract_z
Al1 Al 0.000 0.000 0.234
Au1 Au 0.500 0.500 0.000
I1 I 0.000 0.500 0.500
# **E_tot**: -2.31 eV/atom
# **Crystal system**: tetragonal

# MgFe | OQMD via LeMat-Bulk | PBE | optimized geometry
data_MgFe
_cell_length_a 5.707
_cell_length_b 4.476
_cell_length_c 7.418
_cell_angle_alpha 90.00
_cell_angle_beta 100.59
_cell_angle_gamma 90.00
_symmetry_space_group_name_H-M 'P 1 m 1'
_symmetry_Int_Tables_number 6
loop_
_symmetry_equiv_pos_as_xyz
'x,y,z'
'x,-y,z'
loop_
_atom_site_label
_atom_site_type_symbol
_atom_site_fract_x
_atom_site_fract_y
_atom_site_fract_z
Mg1 Mg 0.000 0.000 0.000
Mg2 Mg 0.066 0.500 0.247
Mg3 Mg 0.348 0.000 0.372
Mg4 Mg 0.480 0.000 0.984
Mg5 Mg 0.583 0.500 0.255
Mg6 Mg 0.719 0.500 0.874
Fe1 Fe 0.156 0.000 0.667
Fe2 Fe 0.202 0.500 0.849
Fe3 Fe 0.387 0.500 0.592
Fe4 Fe 0.685 0.000 0.653
Fe5 Fe 0.861 0.000 0.391
Fe6 Fe 0.902 0.500 0.575
# **E_tot**: -4.69 eV/atom
# **Crystal system**: monoclinic
# **Total magnetization**: 1.191 μB/atom

# ZrIn | OQMD via LeMat-Bulk | PBE | optimized geometry
data_ZrIn
_cell_length_a 5.360
_cell_length_b 15.572
_cell_length_c 5.560
_cell_angle_alpha 90.00
_cell_angle_beta 90.00
_cell_angle_gamma 90.00
_symmetry_space_group_name_H-M 'A m m 2'
_symmetry_Int_Tables_number 38
loop_
_symmetry_equiv_pos_as_xyz
'x,y,z'
'-x,-y,z'
'-x,y,z'
'x,-y,z'
'x,y+1/2,z+1/2'
'-x,-y+1/2,z+1/2'
'-x,y+1/2,z+1/2'
'x,-y+1/2,z+1/2'
loop_
_atom_site_label
_atom_site_type_symbol
_atom_site_fract_x
_atom_site_fract_y
_atom_site_fract_z
Zr1 Zr 0.000 0.000 0.000
Zr2 Zr 0.000 0.095 0.500
Zr3 Zr 0.500 0.094 0.839
In1 In 0.000 0.198 0.990
In2 In 0.500 0.000 0.331
In3 In 0.500 0.202 0.356
# **E_tot**: -5.74 eV/atom
# **Crystal system**: orthorhombic
# **Total magnetization**: 0.045 μB/atom

# Nb2As3W4N3 | OQMD via LeMat-Bulk | PBE | optimized geometry
data_Nb2As3W4N3
_cell_length_a 9.718
_cell_length_b 5.541
_cell_length_c 13.077
_cell_angle_alpha 90.00
_cell_angle_beta 109.32
_cell_angle_gamma 90.00
_symmetry_space_group_name_H-M 'C 1 2/c 1'
_symmetry_Int_Tables_number 15
loop_
_symmetry_equiv_pos_as_xyz
'x,y,z'
'-x,-y,-z'
'-x,y,-z+1/2'
'x,-y,z+1/2'
'x+1/2,y+1/2,z'
'-x+1/2,-y+1/2,-z'
'-x+1/2,y+1/2,-z+1/2'
'x+1/2,-y+1/2,z+1/2'
loop_
_atom_site_label
_atom_site_type_symbol
_atom_site_fract_x
_atom_site_fract_y
_atom_site_fract_z
Nb1 Nb 0.070 0.019 0.386
As1 As 0.000 0.407 0.250
As2 As 0.185 0.127 0.743
W1 W 0.111 0.432 0.581
W2 W 0.228 0.421 0.909
N1 N 0.054 0.209 0.030
N2 N 0.250 0.250 0.500
# **E_tot**: -9.33 eV/atom
# **Crystal system**: monoclinic
# **Total magnetization**: 0.000 μB/atom

# Ba2HfIn | OQMD via LeMat-Bulk | PBE | optimized geometry
data_Ba2HfIn
_cell_length_a 8.129
_cell_length_b 8.129
_cell_length_c 8.129
_cell_angle_alpha 90.00
_cell_angle_beta 90.00
_cell_angle_gamma 90.00
_symmetry_space_group_name_H-M 'F -4 3 m'
_symmetry_Int_Tables_number 216
_symmetry_space_group_name_Hall 'F -4 2 3'
loop_
_atom_site_label
_atom_site_type_symbol
_atom_site_fract_x
_atom_site_fract_y
_atom_site_fract_z
Ba1 Ba 0.000 0.000 0.000
Ba2 Ba 0.250 0.250 0.250
Hf1 Hf 0.250 0.250 0.750
In1 In 0.000 0.000 0.500
# **E_tot**: -3.71 eV/atom
# **Crystal system**: cubic
# **Total magnetization**: 0.691 μB/atom

# YGaFeOs | OQMD via LeMat-Bulk | PBE | optimized geometry
data_YGaFeOs
_cell_length_a 6.524
_cell_length_b 6.524
_cell_length_c 6.524
_cell_angle_alpha 90.00
_cell_angle_beta 90.00
_cell_angle_gamma 90.00
_symmetry_space_group_name_H-M 'F -4 3 m'
_symmetry_Int_Tables_number 216
_symmetry_space_group_name_Hall 'F -4 2 3'
loop_
_atom_site_label
_atom_site_type_symbol
_atom_site_fract_x
_atom_site_fract_y
_atom_site_fract_z
Y1 Y 0.000 0.000 0.000
Ga1 Ga 0.250 0.250 0.250
Fe1 Fe 0.000 0.000 0.500
Os1 Os 0.250 0.250 0.750
# **E_tot**: -7.07 eV/atom
# **Crystal system**: cubic
# **Energy above the most stable polymorph in this dataset**: 59 meV/atom
# **Total magnetization**: 0.942 μB/atom

# AgHgSeO | OQMD via LeMat-Bulk | PBE | optimized geometry
data_AgHgSeO
_cell_length_a 3.7399
_cell_length_b 3.7399
_cell_length_c 12.8595
_cell_angle_alpha 90.00
_cell_angle_beta 90.00
_cell_angle_gamma 120.00
_symmetry_space_group_name_H-M 'P 63 m c'
_symmetry_Int_Tables_number 186
_symmetry_space_group_name_Hall 'P 6c -2c'
loop_
_atom_site_label
_atom_site_type_symbol
_atom_site_fract_x
_atom_site_fract_y
_atom_site_fract_z
Ag1 Ag 0.3333 0.6667 0.0000
Hg1 Hg 0.0000 0.0000 0.2325
Se1 Se 0.3333 0.6667 0.3726
O1 O 0.0000 0.0000 0.0686
# **E_tot**: -2.90 eV/atom
# **Crystal system**: hexagonal
# **Energy above the most stable polymorph in this dataset**: 82 meV/atom

# Ho4Ni3Pt | OQMD via LeMat-Bulk | PBE | optimized geometry
data_Ho4Ni3Pt
_cell_length_a 5.417
_cell_length_b 4.287
_cell_length_c 6.961
_cell_angle_alpha 90.00
_cell_angle_beta 90.17
_cell_angle_gamma 90.00
_symmetry_space_group_name_H-M 'P 1 m 1'
_symmetry_Int_Tables_number 6
loop_
_symmetry_equiv_pos_as_xyz
'x,y,z'
'x,-y,z'
loop_
_atom_site_label
_atom_site_type_symbol
_atom_site_fract_x
_atom_site_fract_y
_atom_site_fract_z
Ho1 Ho 0.000 0.000 0.000
Ho2 Ho 0.228 0.000 0.508
Ho3 Ho 0.493 0.500 0.139
Ho4 Ho 0.728 0.500 0.647
Ni1 Ni 0.006 0.500 0.282
Ni2 Ni 0.234 0.500 0.787
Ni3 Ni 0.491 0.000 0.859
Pt1 Pt 0.722 0.000 0.363
# **E_tot**: -5.82 eV/atom
# **Crystal system**: monoclinic
# **Total magnetization**: 0.000 μB/atom

# MgTeIrAu | OQMD via LeMat-Bulk | PBE | optimized geometry
data_MgTeIrAu
_cell_length_a 6.679
_cell_length_b 6.679
_cell_length_c 6.679
_cell_angle_alpha 90.00
_cell_angle_beta 90.00
_cell_angle_gamma 90.00
_symmetry_space_group_name_H-M 'F -4 3 m'
_symmetry_Int_Tables_number 216
_symmetry_space_group_name_Hall 'F -4 2 3'
loop_
_atom_site_label
_atom_site_type_symbol
_atom_site_fract_x
_atom_site_fract_y
_atom_site_fract_z
Mg1 Mg 0.000 0.000 0.000
Te1 Te 0.000 0.000 0.500
Ir1 Ir 0.250 0.250 0.750
Au1 Au 0.250 0.250 0.250
# **E_tot**: -4.12 eV/atom
# **Crystal system**: cubic
# **Energy above the most stable polymorph in this dataset**: 0 meV/atom
# **Total magnetization**: 0.003 μB/atom

# Y2SnOs | OQMD via LeMat-Bulk | PBE | optimized geometry
data_Y2SnOs
_cell_length_a 6.992
_cell_length_b 6.992
_cell_length_c 6.992
_cell_angle_alpha 90.00
_cell_angle_beta 90.00
_cell_angle_gamma 90.00
_symmetry_space_group_name_H-M 'F -4 3 m'
_symmetry_Int_Tables_number 216
_symmetry_space_group_name_Hall 'F -4 2 3'
loop_
_atom_site_label
_atom_site_type_symbol
_atom_site_fract_x
_atom_site_fract_y
_atom_site_fract_z
Y1 Y 0.000 0.000 0.000
Y2 Y 0.250 0.250 0.250
Sn1 Sn 0.000 0.000 0.500
Os1 Os 0.250 0.250 0.750
# **E_tot**: -7.21 eV/atom
# **Crystal system**: cubic
# **Total magnetization**: 0.000 μB/atom

- Which of these has the highest E_tot?
  Al2AuI2

What did the third record say?
# Al2AuI2 | OQMD via LeMat-Bulk | PBE | optimized geometry
data_Al2AuI2
_cell_length_a 5.118
_cell_length_b 5.118
_cell_length_c 5.632
_cell_angle_alpha 90.00
_cell_angle_beta 90.00
_cell_angle_gamma 90.00
_symmetry_space_group_name_H-M 'P 4/m m m'
_symmetry_Int_Tables_number 123
_symmetry_space_group_name_Hall '-P 4 2'
loop_
_atom_site_label
_atom_site_type_symbol
_atom_site_fract_x
_atom_site_fract_y
_atom_site_fract_z
Al1 Al 0.000 0.000 0.234
Au1 Au 0.500 0.500 0.000
I1 I 0.000 0.500 0.500
# **E_tot**: -2.31 eV/atom
# **Crystal system**: tetragonal

- E_tot of number 4 (MgFe)?
  -4.69 eV/atom

- Which of these has the highest E_tot?
  Al2AuI2